1.
The following is a DFT calculation (PBE) of an optimized crystal structure of Pr2NdTl.

Unit cell a=3.729 b=3.729 c=9.560 alpha=90.00 beta=90.00 gamma=90.00
Element x y z (fractional)
Pr1 0.000 0.000 0.227
Tl1 0.500 0.500 0.000
Nd1 0.500 0.500 0.500
Pr2 0.000 0.000 0.773

Values from the calculation:
As for the space group: P4/mmm (123). The calculation puts the energy above the most stable polymorph in this dataset at 0.040 eV/atom. The calculation puts the formation energy from the elements at -0.17 eV/atom.


2.
The following is a DFT calculation (PBE) of an optimized crystal structure of Ba6SrLi.

Unit cell a=6.288 b=6.288 c=12.697 alpha=75.66 beta=75.66 gamma=90.00
Element x y z (fractional)
Ba1 0.747 0.747 0.506
Ba2 0.613 0.113 0.775
Ba3 0.387 0.887 0.225
Ba4 0.887 0.387 0.225
Li1 0.000 0.000 0.000
Ba5 0.253 0.253 0.494
Sr1 0.500 0.500 0.000
Ba6 0.113 0.613 0.775

Values from the calculation:
As for the space group: I4/mmm (139). The calculation puts the energy above the most stable polymorph in this dataset at 0.000 eV/atom. The calculation puts the formation energy from the elements at 0.06 eV/atom.


3.
The following is a DFT calculation (PBE) of an optimized crystal structure of Mg2RhCl.

Unit cell a=5.252 b=5.252 c=5.252 alpha=143.75 beta=114.76 gamma=76.98
Element x y z (fractional)
Mg1 0.009 0.009 0.000
Mg2 0.491 0.491 0.000
Cl1 0.250 0.750 0.500
Rh1 0.750 0.250 0.500

Values from the calculation:
As for the space group: Immm (71). The calculation puts the energy above the most stable polymorph in this dataset at 0.615 eV/atom.


Q: The lowest energy above the most stable polymorph in this dataset belongs to which entry?
A: Ba6SrLi


Q: Among the records above, which one has the highest energy above the most stable polymorph in this dataset?
A: Mg2RhCl